Here is a geometry-optimized Rb3SrMn2F9 structure from Alexandria via LeMat-Bulk. Energies are from PBE+U.

a = 6.280 Å, b = 6.280 Å, c = 7.795 Å
α = 90.00°, β = 90.00°, γ = 120.00°
Fractional coordinates of all 15 atoms:
Rb 0.000 0.000 0.000
Rb 0.333 0.667 0.684
Rb 0.667 0.333 0.316
Sr 0.000 0.000 0.500
Mn 0.333 0.667 0.156
Mn 0.667 0.333 0.844
F 0.000 0.500 0.000
F 0.175 0.350 0.316
F 0.175 0.825 0.316
F 0.350 0.175 0.684
F 0.500 0.000 0.000
F 0.500 0.500 0.000
F 0.650 0.825 0.316
F 0.825 0.175 0.684
F 0.825 0.650 0.684

Summary:
VASP energy   -5.4008 eV/atom